[1]
# KReSi2

An optimized crystal structure of KReSi2 (PBE-GGA, Alexandria).

Cell and atoms, written as CIF:
```
data_KReSi2
_chemical_formula_sum 'K1 Re1 Si2'
_space_group_name_H-M_alt 'P 4/m m m'
_space_group_IT_number 123
_space_group_name_Hall '-P 4 2'
_cell_length_a 5.163
_cell_length_b 5.163
_cell_length_c 2.625
_cell_angle_alpha 90.00
_cell_angle_beta 90.00
_cell_angle_gamma 90.00
loop_
_atom_site_label
_atom_site_type_symbol
_atom_site_fract_x
_atom_site_fract_y
_atom_site_fract_z
_atom_site_occupancy
K1 K 0.000 0.000 0.000 1
Re1 Re 0.500 0.500 0.000 1
Si1 Si 0.000 0.500 0.500 1
```

## Properties
For the energy above the lowest structure with this stoichiometry, the calculation gives 98.3 kJ per mole of atoms. The calculation puts the density of states at the Fermi level at 3.924 states/eV/cell. The value obtained for the energy relative to the elements, uncorrected is 105.6 kJ/mol of atoms. As for the crystal system: tetragonal.


[2]
# RbTlSb2Pb

An optimized crystal structure of RbTlSb2Pb (PBE-GGA, Alexandria).

Cell and atoms, written as CIF:
```
data_RbTlSb2Pb
_chemical_formula_sum 'Rb2 Tl2 Sb4 Pb2'
_space_group_name_H-M_alt 'I -4 m 2'
_space_group_IT_number 119
_space_group_name_Hall 'I -4 -2'
_cell_length_a 5.293
_cell_length_b 5.293
_cell_length_c 13.450
_cell_angle_alpha 90.00
_cell_angle_beta 90.00
_cell_angle_gamma 90.00
loop_
_atom_site_label
_atom_site_type_symbol
_atom_site_fract_x
_atom_site_fract_y
_atom_site_fract_z
_atom_site_occupancy
Rb1 Rb 0.000 0.000 0.000 1
Tl1 Tl 0.000 0.500 0.750 1
Sb1 Sb 0.000 0.000 0.390 1
Pb1 Pb 0.000 0.500 0.250 1
```

## Properties
The calculation puts the density of states at the Fermi level at 1.043 states/eV/cell. The value obtained for the energy relative to the elements, uncorrected is -19.8 kJ/mol of atoms. As for the crystal system: tetragonal.


[3]
# Tb2Si3Pt5

An optimized crystal structure of Tb2Si3Pt5 (PBE-GGA, Alexandria).

Cell and atoms, written as CIF:
```
data_Tb2Si3Pt5
_chemical_formula_sum 'Tb8 Si12 Pt20'
_space_group_name_H-M_alt 'C m c 21'
_space_group_IT_number 36
_cell_length_a 4.216
_cell_length_b 24.199
_cell_length_c 6.798
_cell_angle_alpha 90.00
_cell_angle_beta 90.00
_cell_angle_gamma 90.00
loop_
_space_group_symop_operation_xyz
'x,y,z'
'-x,-y,z+1/2'
'-x,y,z'
'x,-y,z+1/2'
'x+1/2,y+1/2,z'
'-x+1/2,-y+1/2,z+1/2'
'-x+1/2,y+1/2,z'
'x+1/2,-y+1/2,z+1/2'
loop_
_atom_site_label
_atom_site_type_symbol
_atom_site_fract_x
_atom_site_fract_y
_atom_site_fract_z
_atom_site_occupancy
Tb1 Tb 0.000 0.030 0.000 1
Tb2 Tb 0.000 0.328 0.053 1
Si1 Si 0.000 0.125 0.257 1
Si2 Si 0.000 0.270 0.610 1
Si3 Si 0.000 0.455 0.193 1
Pt1 Pt 0.000 0.090 0.607 1
Pt2 Pt 0.000 0.194 0.877 1
Pt3 Pt 0.000 0.226 0.297 1
Pt4 Pt 0.000 0.370 0.546 1
Pt5 Pt 0.000 0.452 0.832 1
```

## Properties
The calculation puts the density of states at the Fermi level at 8.355 states/eV/cell. The value obtained for the energy relative to the elements, uncorrected is -98.1 kJ/mol of atoms. As for the crystal system: orthorhombic.


[4]
# MgCd2Au8

An optimized crystal structure of MgCd2Au8 (PBE-GGA, Alexandria).

Cell and atoms, written as CIF:
```
data_MgCd2Au8
_chemical_formula_sum 'Mg2 Cd4 Au16'
_space_group_name_H-M_alt 'C 1 2/m 1'
_space_group_IT_number 12
_cell_length_a 14.996
_cell_length_b 4.235
_cell_length_c 6.679
_cell_angle_alpha 90.00
_cell_angle_beta 107.06
_cell_angle_gamma 90.00
loop_
_space_group_symop_operation_xyz
'x,y,z'
'-x,-y,-z'
'-x,y,-z'
'x,-y,z'
'x+1/2,y+1/2,z'
'-x+1/2,-y+1/2,-z'
'-x+1/2,y+1/2,-z'
'x+1/2,-y+1/2,z'
loop_
_atom_site_label
_atom_site_type_symbol
_atom_site_fract_x
_atom_site_fract_y
_atom_site_fract_z
_atom_site_occupancy
Mg1 Mg 0.000 0.000 0.000 1
Cd1 Cd 0.223 0.500 0.644 1
Au1 Au 0.042 0.500 0.729 1
Au2 Au 0.092 0.000 0.445 1
Au3 Au 0.135 0.500 0.179 1
Au4 Au 0.178 0.000 0.911 1
```

## Properties
For the energy above the lowest structure with this stoichiometry, the calculation gives 0.0 kJ per mole of atoms. The calculation puts the density of states at the Fermi level at 6.458 states/eV/cell. The energy of formation from the pure elements comes out at -0.2231 eV per atom. As for the crystal system: monoclinic.


Repeat the fourth record exactly.
# MgCd2Au8

An optimized crystal structure of MgCd2Au8 (PBE-GGA, Alexandria).

Cell and atoms, written as CIF:
```
data_MgCd2Au8
_chemical_formula_sum 'Mg2 Cd4 Au16'
_space_group_name_H-M_alt 'C 1 2/m 1'
_space_group_IT_number 12
_cell_length_a 14.996
_cell_length_b 4.235
_cell_length_c 6.679
_cell_angle_alpha 90.00
_cell_angle_beta 107.06
_cell_angle_gamma 90.00
loop_
_space_group_symop_operation_xyz
'x,y,z'
'-x,-y,-z'
'-x,y,-z'
'x,-y,z'
'x+1/2,y+1/2,z'
'-x+1/2,-y+1/2,-z'
'-x+1/2,y+1/2,-z'
'x+1/2,-y+1/2,z'
loop_
_atom_site_label
_atom_site_type_symbol
_atom_site_fract_x
_atom_site_fract_y
_atom_site_fract_z
_atom_site_occupancy
Mg1 Mg 0.000 0.000 0.000 1
Cd1 Cd 0.223 0.500 0.644 1
Au1 Au 0.042 0.500 0.729 1
Au2 Au 0.092 0.000 0.445 1
Au3 Au 0.135 0.500 0.179 1
Au4 Au 0.178 0.000 0.911 1
```

## Properties
For the energy above the lowest structure with this stoichiometry, the calculation gives 0.0 kJ per mole of atoms. The calculation puts the density of states at the Fermi level at 6.458 states/eV/cell. The energy of formation from the pure elements comes out at -0.2231 eV per atom. As for the crystal system: monoclinic.